Record 1
The following is a PBE-GGA calculation of NaSrSmSeO6 after structural relaxation, from Alexandria via LeMat-Bulk.

CIF file:
```
data_NaSrSmSeO6
_cell_length_a 8.155
_cell_length_b 8.155
_cell_length_c 8.155
_cell_angle_alpha 90.00
_cell_angle_beta 90.00
_cell_angle_gamma 90.00
_symmetry_space_group_name_H-M 'F -4 3 m'
_symmetry_Int_Tables_number 216
_symmetry_space_group_name_Hall 'F -4 2 3'
loop_
_atom_site_label
_atom_site_type_symbol
_atom_site_fract_x
_atom_site_fract_y
_atom_site_fract_z
Na1 Na 0.000 0.000 0.000
Sr1 Sr 0.000 0.000 0.500
Sm1 Sm 0.250 0.250 0.250
Se1 Se 0.250 0.250 0.750
O1 O 0.027 0.250 0.750
```

***

Record 2
The following is a PBE-GGA calculation of NaSnSe2O after structural relaxation, from Alexandria via LeMat-Bulk.

CIF file:
```
data_NaSnSe2O
_cell_length_a 5.520
_cell_length_b 5.520
_cell_length_c 3.921
_cell_angle_alpha 90.00
_cell_angle_beta 90.00
_cell_angle_gamma 90.00
_symmetry_space_group_name_H-M 'P 4/m m m'
_symmetry_Int_Tables_number 123
_symmetry_space_group_name_Hall '-P 4 2'
loop_
_atom_site_label
_atom_site_type_symbol
_atom_site_fract_x
_atom_site_fract_y
_atom_site_fract_z
Na1 Na 0.000 0.000 0.000
Sn1 Sn 0.500 0.500 0.500
Se1 Se 0.000 0.500 0.500
O1 O 0.500 0.500 0.000
```

***

Record 3
The following is a PBE-GGA calculation of Na2SnSeO after structural relaxation, from Alexandria via LeMat-Bulk.

CIF file:
```
data_Na2SnSeO
_cell_length_a 4.593
_cell_length_b 4.593
_cell_length_c 4.732
_cell_angle_alpha 90.00
_cell_angle_beta 90.00
_cell_angle_gamma 90.00
_symmetry_space_group_name_H-M 'P 4/m m m'
_symmetry_Int_Tables_number 123
_symmetry_space_group_name_Hall '-P 4 2'
loop_
_atom_site_label
_atom_site_type_symbol
_atom_site_fract_x
_atom_site_fract_y
_atom_site_fract_z
Na1 Na 0.000 0.500 0.000
Sn1 Sn 0.000 0.000 0.500
Se1 Se 0.500 0.500 0.500
O1 O 0.000 0.000 0.000
```

***

no.,formation energy without anion corrections (eV/atom)
1,-1.972
2,-0.511
3,-1.017